Computed, not measured: a geometry-optimized AcCr2CuO8 structure at the PBE+U level of DFT.

Computed properties:
As for the symmetry: No. 119. Its total DFT energy (no corrections) is -81.6 eV per cell.

Cell lengths 6.1779, 6.1779, 6.1779 Å; angles 106.84, 106.84, 114.88 degrees
Closest atoms and distances in Å follow each position.
Element x y z (fractional)
O (0.3456, 0.5274, 0.1818)  1 Cr 1.69
O (0.3456, 0.1638, 0.8182)  1 Cr 1.69
Cr (0.5000, 0.5000, 0.0000)  4 O 1.69
O (0.4193, 0.0974, 0.3219)  1 Cr 1.66
Ac (0.0000, 0.0000, 0.0000)  8 O 2.46-2.66
O (0.9026, 0.2246, 0.3219)  1 Cr 1.66
O (0.9026, 0.5807, 0.6781)  1 Cr 1.66
O (0.7754, 0.0974, 0.6781)  1 Cr 1.66
O (0.8362, 0.6544, 0.1818)  1 Cr 1.69
O (0.4726, 0.6544, 0.8182)  1 Cr 1.69
Cu (0.2500, 0.7500, 0.5000)  8 O 2.43-2.66
Cr (0.7500, 0.2500, 0.5000)  4 O 1.66